This record from Alexandria describes an optimized crystal structure of CaEr2RuN4. The functional is PBE.

Cell lengths 3.4143, 11.6778, 11.5243 Å; angles 90.00, 90.00, 90.00 degrees
Space group Cmcm (No. 63)
Asymmetric unit:
1 Ca 0.0000 0.1274 0.2500 [4 per cell]
2 Er 0.0000 0.3685 0.0349 [8 per cell]
3 Ru 0.0000 0.1411 0.7500 [4 per cell]
4 N 0.0000 0.0000 0.0000 [4 per cell]
5 N 0.0000 0.2572 0.6239 [8 per cell]
6 N 0.0000 0.4357 0.2500 [4 per cell]

Results
crystal system = orthorhombic
density of states at the Fermi level = 4.59 states/eV/cell
formation energy (no corrections) = -7.4 eV per formula unit